PBE-GGA Dy5SnBi5, optimized geometry; calculated density = 8.98 g/cm³; density of states at the Fermi level = 7.60 states/eV/cell; DFT formation energy = -551 meV per atom
1.0
7.0449 -3.1129 0.0000
7.0449 3.1129 0.0000
-2.7988 0.0000 8.3300
Dy Sn Bi
5 1 5
Direct
0.0000 0.0000 0.0000
0.3290 0.3290 0.1608
0.3326 0.3326 0.6693
0.6674 0.6674 0.3307
0.6710 0.6710 0.8392
0.5000 0.5000 0.0000
0.1546 0.1546 0.8106
0.1605 0.1605 0.3414
0.5000 0.5000 0.5000
0.8395 0.8395 0.6586
0.8454 0.8454 0.1894